[1]
VASP calculation (PBE) on crystalline TlNiSb2Te at its relaxed geometry.

Values from the calculation:
Offset from the most stable computed form, meV/atom: 0
Uncorrected formation energy, meV per atom: 182.5
Crystal system: tetragonal
Density of states at the Fermi level, states/eV per cell: 4.4

Cell: 4.997 4.997 5.582 Å, 90.00 90.00 90.00°
Fractional positions:
Tl  0.000  0.000  0.000
Ni  0.500  0.500  0.500
Sb  0.000  0.500  0.500
Sb  0.500  0.000  0.500
Te  0.500  0.500  0.000


[2]
VASP calculation (PBE) on crystalline Y2ZrTe at its relaxed geometry.

Values from the calculation:
Uncorrected formation energy, meV per atom: -278.4
Crystal system: tetragonal
Density of states at the Fermi level, states/eV per cell: 13.0

Cell: 4.577 4.577 10.049 Å, 90.00 90.00 90.00°
Fractional positions:
Y  0.000  0.500  0.250
Y  0.000  0.500  0.750
Y  0.500  0.000  0.250
Y  0.500  0.000  0.750
Zr  0.000  0.000  0.000
Zr  0.500  0.500  0.500
Te  0.000  0.000  0.500
Te  0.500  0.500  0.000


[3]
VASP calculation (PBE) on crystalline Dy3URu4 at its relaxed geometry.

Values from the calculation:
Offset from the most stable computed form, meV/atom: 0
Crystal system: cubic
Density of states at the Fermi level, states/eV per cell: 14.6

Cell: 6.778 6.778 6.778 Å, 90.00 90.00 90.00°
Fractional positions:
Dy  0.000  0.000  0.500
Dy  0.000  0.500  0.000
Dy  0.000  0.500  0.500
Dy  0.500  0.000  0.000
Dy  0.500  0.000  0.500
Dy  0.500  0.500  0.000
U  0.000  0.000  0.000
U  0.500  0.500  0.500
Ru  0.250  0.250  0.250
Ru  0.250  0.250  0.750
Ru  0.250  0.750  0.250
Ru  0.250  0.750  0.750
Ru  0.750  0.250  0.250
Ru  0.750  0.250  0.750
Ru  0.750  0.750  0.250
Ru  0.750  0.750  0.750


[4]
VASP calculation (PBE) on crystalline SiPtS2Cl at its relaxed geometry.

Values from the calculation:
Offset from the most stable computed form, meV/atom: 69
Uncorrected formation energy, meV per atom: 583.8
Crystal system: tetragonal
Density of states at the Fermi level, states/eV per cell: 4.6

Cell: 4.587 4.587 4.340 Å, 90.00 90.00 90.00°
Fractional positions:
Si  0.000  0.000  0.000
Pt  0.500  0.500  0.500
S  0.000  0.500  0.000
S  0.500  0.000  0.000
Cl  0.000  0.000  0.500


[5]
VASP calculation (PBE) on crystalline Ba2CdCl6 at its relaxed geometry.

Values from the calculation:
Offset from the most stable computed form, meV/atom: 58
Uncorrected formation energy, meV per atom: -1990.7
Crystal system: tetragonal
Density of states at the Fermi level, states/eV per cell: 0.0

Cell: 6.864 6.864 13.567 Å, 90.00 90.00 90.00°
Fractional positions:
Ba  0.000  0.000  0.166
Ba  0.000  0.000  0.834
Ba  0.500  0.500  0.334
Ba  0.500  0.500  0.666
Cd  0.000  0.000  0.500
Cd  0.500  0.500  0.000
Cl  0.184  0.184  0.353
Cl  0.184  0.184  0.647
Cl  0.220  0.220  0.000
Cl  0.280  0.720  0.500
Cl  0.316  0.684  0.147
Cl  0.316  0.684  0.853
Cl  0.684  0.316  0.147
Cl  0.684  0.316  0.853
Cl  0.720  0.280  0.500
Cl  0.780  0.780  0.000
Cl  0.816  0.816  0.353
Cl  0.816  0.816  0.647


[6]
VASP calculation (PBE) on crystalline HgTe2Pb at its relaxed geometry.

Values from the calculation:
Uncorrected formation energy, meV per atom: -172.6
Crystal system: tetragonal
Density of states at the Fermi level, states/eV per cell: 2.6

Cell: 4.501 4.501 6.349 Å, 90.00 90.00 90.00°
Fractional positions:
Hg  0.000  0.000  0.000
Te  0.000  0.000  0.500
Te  0.500  0.500  0.999
Pb  0.500  0.500  0.499


[7]
VASP calculation (PBE) on crystalline LaTlCdBr6 at its relaxed geometry.

Values from the calculation:
Uncorrected formation energy, meV per atom: -1353.8
Crystal system: trigonal
Density of states at the Fermi level, states/eV per cell: 0.0

Cell: 7.466 7.466 14.534 Å, 90.00 90.00 120.00°
Fractional positions:
La  0.333  0.667  0.250
La  0.667  0.333  0.750
Tl  0.000  0.000  0.000
Tl  0.000  0.000  0.500
Cd  0.333  0.667  0.750
Cd  0.667  0.333  0.250
Br  0.014  0.373  0.636
Br  0.014  0.640  0.864
Br  0.360  0.373  0.864
Br  0.360  0.986  0.636
Br  0.373  0.014  0.136
Br  0.373  0.360  0.364
Br  0.627  0.640  0.636
Br  0.627  0.986  0.864
Br  0.640  0.014  0.364
Br  0.640  0.627  0.136
Br  0.986  0.360  0.136
Br  0.986  0.627  0.364


[8]
VASP calculation (PBE) on crystalline NaTaSeO2 at its relaxed geometry.

Values from the calculation:
Uncorrected formation energy, meV per atom: -1946.2
Crystal system: tetragonal

Cell: 3.966 3.966 5.278 Å, 90.00 90.00 90.00°
Fractional positions:
Na  0.000  0.000  0.000
Ta  0.500  0.500  0.500
Se  0.500  0.500  0.000
O  0.000  0.500  0.500
O  0.500  0.000  0.500


[9]
VASP calculation (PBE) on crystalline KMgIr at its relaxed geometry.

Values from the calculation:
Offset from the most stable computed form, meV/atom: 466
Crystal system: cubic

Cell: 6.750 6.750 6.750 Å, 90.00 90.00 90.00°
Fractional positions:
K  0.000  0.000  0.000
K  0.000  0.500  0.500
K  0.500  0.000  0.500
K  0.500  0.500  0.000
Mg  0.000  0.000  0.500
Mg  0.000  0.500  0.000
Mg  0.500  0.000  0.000
Mg  0.500  0.500  0.500
Ir  0.250  0.250  0.750
Ir  0.250  0.750  0.250
Ir  0.750  0.250  0.250
Ir  0.750  0.750  0.750


[10]
VASP calculation (PBE) on crystalline Sc2Mn2Ni at its relaxed geometry.

Values from the calculation:
Offset from the most stable computed form, meV/atom: 0
Crystal system: tetragonal
Density of states at the Fermi level, states/eV per cell: 7.6

Cell: 6.187 6.187 4.107 Å, 90.00 90.00 90.00°
Fractional positions:
Sc  0.179  0.321  0.000
Sc  0.321  0.821  0.000
Sc  0.679  0.179  0.000
Sc  0.821  0.679  0.000
Mn  0.123  0.623  0.500
Mn  0.377  0.123  0.500
Mn  0.623  0.877  0.500
Mn  0.877  0.377  0.500
Ni  0.000  0.000  0.500
Ni  0.500  0.500  0.500


[11]
VASP calculation (PBE) on crystalline Hf4HgOs at its relaxed geometry.

Values from the calculation:
Crystal system: tetragonal
Density of states at the Fermi level, states/eV per cell: 12.3

Cell: 5.451 5.451 8.788 Å, 90.00 90.00 90.00°
Fractional positions:
Hf  0.000  0.000  0.180
Hf  0.000  0.000  0.820
Hf  0.000  0.500  0.557
Hf  0.000  0.500  0.943
Hf  0.500  0.000  0.057
Hf  0.500  0.000  0.443
Hf  0.500  0.500  0.320
Hf  0.500  0.500  0.680
Hg  0.000  0.000  0.500
Hg  0.500  0.500  0.000
Os  0.000  0.500  0.250
Os  0.500  0.000  0.750


[12]
VASP calculation (PBE) on crystalline Cs2BeBr4 at its relaxed geometry.

Values from the calculation:
Offset from the most stable computed form, meV/atom: 233
Uncorrected formation energy, meV per atom: -1292.1
Crystal system: tetragonal
Density of states at the Fermi level, states/eV per cell: 0.0

Cell: 5.567 5.567 16.561 Å, 90.00 90.00 90.00°
Fractional positions:
Cs  0.000  0.000  0.138
Cs  0.000  0.000  0.862
Cs  0.500  0.500  0.362
Cs  0.500  0.500  0.638
Be  0.000  0.000  0.500
Be  0.500  0.500  0.000
Br  0.000  0.000  0.365
Br  0.000  0.000  0.635
Br  0.000  0.500  0.000
Br  0.000  0.500  0.500
Br  0.500  0.000  0.000
Br  0.500  0.000  0.500
Br  0.500  0.500  0.135
Br  0.500  0.500  0.865


[13]
VASP calculation (PBE) on crystalline HoW3N6 at its relaxed geometry.

Values from the calculation:
Uncorrected formation energy, meV per atom: -548.8
Crystal system: triclinic
Density of states at the Fermi level, states/eV per cell: 4.3

Cell: 3.029 8.712 8.744 Å, 72.38 89.51 89.54°
Fractional positions:
Ho  0.247  0.306  0.054
Ho  0.753  0.694  0.946
W  0.227  0.923  0.167
W  0.255  0.481  0.678
W  0.284  0.147  0.435
W  0.716  0.853  0.565
W  0.745  0.519  0.322
W  0.773  0.077  0.833
N  0.237  0.914  0.391
N  0.242  0.737  0.716
N  0.249  0.388  0.477
N  0.252  0.534  0.153
N  0.255  0.240  0.793
N  0.259  0.909  0.924
N  0.741  0.091  0.076
N  0.745  0.760  0.207
N  0.748  0.466  0.847
N  0.751  0.612  0.523
N  0.758  0.263  0.284
N  0.763  0.086  0.609


[14]
VASP calculation (PBE) on crystalline CaTb2Sm at its relaxed geometry.

Values from the calculation:
Offset from the most stable computed form, meV/atom: 112
Crystal system: cubic
Density of states at the Fermi level, states/eV per cell: 32.5

Cell: 8.178 8.178 8.178 Å, 90.00 90.00 90.00°
Fractional positions:
Ca  0.000  0.000  0.000
Ca  0.000  0.500  0.500
Ca  0.500  0.000  0.500
Ca  0.500  0.500  0.000
Tb  0.250  0.250  0.250
Tb  0.250  0.250  0.750
Tb  0.250  0.750  0.250
Tb  0.250  0.750  0.750
Tb  0.750  0.250  0.250
Tb  0.750  0.250  0.750
Tb  0.750  0.750  0.250
Tb  0.750  0.750  0.750
Sm  0.000  0.000  0.500
Sm  0.000  0.500  0.000
Sm  0.500  0.000  0.000
Sm  0.500  0.500  0.500


[15]
VASP calculation (PBE) on crystalline TbYAu5 at its relaxed geometry.

Values from the calculation:
Crystal system: monoclinic
Density of states at the Fermi level, states/eV per cell: 7.4

Cell: 5.300 5.300 11.313 Å, 100.78 100.78 100.61°
Fractional positions:
Tb  0.000  0.500  0.000
Tb  0.500  0.000  0.500
Y  0.182  0.818  0.750
Y  0.818  0.182  0.250
Au  0.063  0.280  0.543
Au  0.184  0.816  0.250
Au  0.280  0.063  0.043
Au  0.398  0.404  0.354
Au  0.404  0.398  0.854
Au  0.596  0.602  0.146
Au  0.602  0.596  0.646
Au  0.720  0.937  0.957
Au  0.816  0.184  0.750
Au  0.937  0.720  0.457


[16]
VASP calculation (PBE) on crystalline SrZr2As at its relaxed geometry.

Values from the calculation:
Crystal system: orthorhombic
Density of states at the Fermi level, states/eV per cell: 6.2

Cell: 3.624 4.118 15.177 Å, 90.00 90.00 90.00°
Fractional positions:
Sr  0.000  0.000  0.000
Sr  0.500  0.500  0.500
Zr  0.000  0.000  0.663
Zr  0.000  0.500  0.808
Zr  0.500  0.000  0.308
Zr  0.500  0.500  0.163
As  0.000  0.500  0.307
As  0.500  0.000  0.807


[17]
VASP calculation (PBE) on crystalline Sr6MgZn5 at its relaxed geometry.

Values from the calculation:
Crystal system: monoclinic
Density of states at the Fermi level, states/eV per cell: 7.5

Cell: 5.584 7.904 8.840 Å, 90.00 108.45 90.00°
Fractional positions:
Sr  0.000  0.239  0.000
Sr  0.000  0.761  0.000
Sr  0.330  0.246  0.659
Sr  0.330  0.754  0.659
Sr  0.670  0.246  0.341
Sr  0.670  0.754  0.341
Mg  0.500  0.500  0.000
Zn  0.157  0.500  0.316
Zn  0.164  0.000  0.332
Zn  0.500  0.000  0.000
Zn  0.836  0.000  0.668
Zn  0.843  0.500  0.684


[18]
VASP calculation (PBE) on crystalline Mn3AlNi6 at its relaxed geometry.

Values from the calculation:
Crystal system: monoclinic
Density of states at the Fermi level, states/eV per cell: 13.9

Cell: 6.858 4.169 8.901 Å, 90.00 110.62 90.00°
Fractional positions:
Mn  0.045  0.250  0.384
Mn  0.140  0.750  0.212
Mn  0.273  0.250  0.989
Mn  0.727  0.750  0.011
Mn  0.860  0.250  0.788
Mn  0.955  0.750  0.616
Al  0.454  0.250  0.587
Al  0.546  0.750  0.413
Ni  0.043  0.750  0.917
Ni  0.164  0.250  0.685
Ni  0.247  0.750  0.516
Ni  0.342  0.750  0.819
Ni  0.360  0.250  0.287
Ni  0.442  0.750  0.125
Ni  0.558  0.250  0.875
Ni  0.640  0.750  0.713
Ni  0.658  0.250  0.181
Ni  0.753  0.250  0.484
Ni  0.836  0.750  0.315
Ni  0.957  0.250  0.083


[19]
VASP calculation (PBE) on crystalline Pr3Ga2Rh at its relaxed geometry.

Values from the calculation:
Crystal system: orthorhombic
Density of states at the Fermi level, states/eV per cell: 25.7

Cell: 12.344 4.262 12.039 Å, 90.00 90.00 90.00°
Fractional positions:
Pr  0.045  0.250  0.127
Pr  0.116  0.750  0.552
Pr  0.230  0.250  0.794
Pr  0.270  0.750  0.294
Pr  0.384  0.250  0.052
Pr  0.455  0.750  0.627
Pr  0.545  0.250  0.373
Pr  0.616  0.750  0.948
Pr  0.730  0.250  0.706
Pr  0.770  0.750  0.206
Pr  0.884  0.250  0.448
Pr  0.955  0.750  0.873
Ga  0.013  0.750  0.307
Ga  0.193  0.750  0.001
Ga  0.307  0.250  0.501
Ga  0.487  0.250  0.807
Ga  0.513  0.750  0.193
Ga  0.693  0.750  0.499
Ga  0.807  0.250  0.999
Ga  0.987  0.250  0.693
Rh  0.130  0.250  0.378
Rh  0.370  0.750  0.878
Rh  0.630  0.250  0.122
Rh  0.870  0.750  0.622


[20]
VASP calculation (PBE) on crystalline MnAl2Rh2 at its relaxed geometry.

Values from the calculation:
Crystal system: tetragonal
Density of states at the Fermi level, states/eV per cell: 5.3

Cell: 7.130 7.130 2.879 Å, 90.00 90.00 90.00°
Fractional positions:
Mn  0.000  0.000  0.000
Mn  0.500  0.500  0.000
Al  0.135  0.365  0.000
Al  0.365  0.865  0.000
Al  0.635  0.135  0.000
Al  0.865  0.635  0.000
Rh  0.162  0.662  0.500
Rh  0.338  0.162  0.500
Rh  0.662  0.838  0.500
Rh  0.838  0.338  0.500


For reference, calculated total energy by record: -18.62; -51.46; -129.67; -18.65; -67.51; -10.98; -60.86; -36.30; -37.72; -73.79; -98.98; -42.34; -197.76; -61.22; -64.33; -48.38; -19.90; -135.16; -125.62; -68.92 eV for the cell shown.